Entry 1:
The following is a PBE-GGA calculation of an optimized crystal structure of KTeAs2, from the Alexandria database.

Cell and atoms, written as POSCAR:
```
KTeAs2
1.0
3.0719 0.0000 0.0000
0.0000 3.9156 0.0000
-0.0171 0.0000 9.1354
K Te As
1 1 2
Direct
0.0000 0.0000 0.0000
0.5011 0.5000 0.2772
0.4957 0.0000 0.5599
0.4973 0.5000 0.7403
```

Output
- ρ: 4.8 Mg/m³
- Space group: Pm
- Energy: -3.5401 eV per atom
- Formation energy without anion corrections: -0.62 eV/f.u.


Entry 2:
The following is a PBE-GGA calculation of an optimized crystal structure of Co2SiAu, from the Alexandria database.

Cell and atoms, written as POSCAR:
```
Co2SiAu
1.0
3.8585 0.0000 0.0000
0.0000 3.8585 0.0000
0.0000 0.0000 6.8211
Co Si Au
4 2 2
Direct
0.0000 0.5000 0.2500
0.0000 0.5000 0.7500
0.5000 0.0000 0.2500
0.5000 0.0000 0.7500
0.0000 0.0000 0.0000
0.5000 0.5000 0.5000
0.0000 0.0000 0.5000
0.5000 0.5000 0.0000
```

Output
- ρ: 11.2 Mg/m³
- Space group: I4/mmm
- Energy: -5.6724 eV per atom
- Formation energy without anion corrections: 0.22 eV/f.u.


Entry 3:
The following is a PBE-GGA calculation of an optimized crystal structure of LaPmPr, from the Alexandria database.

Cell and atoms, written as POSCAR:
```
LaPmPr
1.0
5.8669 0.0000 0.0000
-2.9335 5.0809 0.0000
0.0000 0.0000 3.6022
La Pm Pr
1 1 1
Direct
0.0000 0.0000 0.0000
0.6667 0.3333 0.5000
0.3333 0.6667 0.5000
```

Output
- ΔE_f: 0.04 eV/atom
- ρ: 6.6 Mg/m³
- Space group: P-6m2
- Energy: -4.7749 eV per atom
- Polymorph energy (0 for the lowest one): 32.4 meV per atom


Entry 4:
The following is a PBE-GGA calculation of an optimized crystal structure of Cu5Sn3Cl12, from the Alexandria database.

Cell and atoms, written as POSCAR:
```
Cu5Sn3Cl12
1.0
-7.7419 7.7419 7.7419
7.7419 -7.7419 7.7419
7.7419 7.7419 -7.7419
Cu Sn Cl
20 12 48
Direct
0.0000 0.0000 0.0000
0.0000 0.0000 0.5000
0.0000 0.5000 0.0000
0.0000 0.5000 0.5000
0.1250 0.7500 0.8750
0.1250 0.8750 0.2500
0.2500 0.1250 0.8750
0.2500 0.6250 0.3750
0.3750 0.2500 0.6250
0.3750 0.6250 0.7500
0.5000 0.0000 0.0000
0.5000 0.0000 0.5000
0.5000 0.5000 0.0000
0.5000 0.5000 0.5000
0.6250 0.3750 0.2500
0.6250 0.7500 0.3750
0.7500 0.3750 0.6250
0.7500 0.8750 0.1250
0.8750 0.1250 0.7500
0.8750 0.2500 0.1250
0.1250 0.2500 0.3750
0.1250 0.3750 0.7500
0.2500 0.3750 0.1250
0.2500 0.8750 0.6250
0.3750 0.1250 0.2500
0.3750 0.7500 0.1250
0.6250 0.2500 0.8750
0.6250 0.8750 0.7500
0.7500 0.1250 0.3750
0.7500 0.6250 0.8750
0.8750 0.6250 0.2500
0.8750 0.7500 0.6250
0.0268 0.2065 0.1193
0.0268 0.3203 0.9075
0.0872 0.7065 0.6797
0.0872 0.8807 0.4075
0.0925 0.6193 0.4128
0.0925 0.9732 0.6797
0.1193 0.0268 0.2065
0.1193 0.5925 0.9128
0.1797 0.2065 0.5872
0.1797 0.4732 0.5925
0.2065 0.1193 0.0268
0.2065 0.5872 0.1797
0.2935 0.3203 0.9128
0.2935 0.4732 0.3807
0.3203 0.9075 0.0268
0.3203 0.9128 0.2935
0.3807 0.2935 0.4732
0.3807 0.5872 0.9075
0.4075 0.0872 0.8807
0.4075 0.8203 0.5268
0.4128 0.0925 0.6193
0.4128 0.8203 0.7935
0.4732 0.3807 0.2935
0.4732 0.5925 0.1797
0.5268 0.4075 0.8203
0.5268 0.6193 0.7065
0.5872 0.1797 0.2065
0.5872 0.9075 0.3807
0.5925 0.1797 0.4732
0.5925 0.9128 0.1193
0.6193 0.4128 0.0925
0.6193 0.7065 0.5268
0.6797 0.0872 0.7065
0.6797 0.0925 0.9732
0.7065 0.5268 0.6193
0.7065 0.6797 0.0872
0.7935 0.4128 0.8203
0.7935 0.8807 0.9732
0.8203 0.5268 0.4075
0.8203 0.7935 0.4128
0.8807 0.4075 0.0872
0.8807 0.9732 0.7935
0.9075 0.0268 0.3203
0.9075 0.3807 0.5872
0.9128 0.1193 0.5925
0.9128 0.2935 0.3203
0.9732 0.6797 0.0925
0.9732 0.7935 0.8807
```

Output
- ρ: 3.9 Mg/m³
- Space group: Ia-3d
- Energy: -3.4037 eV per atom
- Formation energy without anion corrections: -13.43 eV/f.u.


Entry 5:
The following is a PBE-GGA calculation of an optimized crystal structure of Cs2TlTe6, from the Alexandria database.

Cell and atoms, written as POSCAR:
```
Cs2TlTe6
1.0
7.7682 -4.8855 0.0000
7.7682 4.8855 0.0000
-2.0272 0.0000 5.8639
Cs Tl Te
2 1 6
Direct
0.2197 0.2197 0.4754
0.7803 0.7803 0.5246
0.5000 0.5000 0.0000
0.1094 0.5830 0.0826
0.3426 0.6574 0.5000
0.4170 0.8906 0.9174
0.5830 0.1094 0.0826
0.6574 0.3426 0.5000
0.8906 0.4170 0.9174
```

Output
- ρ: 4.6 Mg/m³
- Space group: C2/m
- Energy: -2.9594 eV per atom
- Formation energy without anion corrections: -3.71 eV/f.u.


Entry 6:
The following is a PBE-GGA calculation of an optimized crystal structure of TlCd4Si, from the Alexandria database.

Cell and atoms, written as POSCAR:
```
TlCd4Si
1.0
0.0000 4.1724 4.1724
4.1724 0.0000 4.1724
4.1724 4.1724 0.0000
Tl Cd Si
1 4 1
Direct
0.0000 0.0000 0.0000
0.1263 0.6246 0.6246
0.6246 0.1263 0.6246
0.6246 0.6246 0.1263
0.6246 0.6246 0.6246
0.2500 0.2500 0.2500
```

Output
- ρ: 7.8 Mg/m³
- Space group: F-43m
- Energy: -1.6012 eV per atom
- Formation energy without anion corrections: 1.84 eV/f.u.


Entry 7:
The following is a PBE-GGA calculation of an optimized crystal structure of La5Pm2PrTh, from the Alexandria database.

Cell and atoms, written as POSCAR:
```
La5Pm2PrTh
1.0
2.7961 -11.1043 0.0000
2.7961 11.1043 0.0000
0.0000 0.0000 10.6313
La Pm Pr Th
10 4 2 2
Direct
0.0000 0.0000 0.0000
0.0000 0.0000 0.5000
0.1284 0.8716 0.7500
0.2242 0.7758 0.0589
0.2242 0.7758 0.4411
0.4976 0.5024 0.2500
0.5024 0.4976 0.7500
0.7758 0.2242 0.5589
0.7758 0.2242 0.9411
0.8716 0.1284 0.2500
0.3869 0.6131 0.5049
0.3869 0.6131 0.9951
0.6131 0.3869 0.0049
0.6131 0.3869 0.4951
0.1015 0.8985 0.2500
0.8985 0.1015 0.7500
0.2858 0.7142 0.7500
0.7142 0.2858 0.2500
```

Output
- ΔE_f: 0.12 eV/atom
- ρ: 6.8 Mg/m³
- Space group: Cmcm
- Energy: -5.0254 eV per atom


Entry 8:
The following is a PBE-GGA calculation of an optimized crystal structure of Ag2IrAu, from the Alexandria database.

Cell and atoms, written as POSCAR:
```
Ag2IrAu
1.0
2.8318 0.0000 0.0000
-1.4159 2.4525 0.0000
0.0000 0.0000 29.0932
Ag Ir Au
6 3 3
Direct
0.0000 0.0000 0.0000
0.0000 0.0000 0.2488
0.3333 0.6667 0.6667
0.3333 0.6667 0.9155
0.6667 0.3333 0.3333
0.6667 0.3333 0.5822
0.0000 0.0000 0.5009
0.3333 0.6667 0.1676
0.6667 0.3333 0.8342
0.0000 0.0000 0.7521
0.3333 0.6667 0.4188
0.6667 0.3333 0.0855
```

Output
- ΔE_f: 0.23 eV/atom
- ρ: 14.9 Mg/m³
- Space group: R3m
- Energy: -4.2307 eV per atom
- Polymorph energy (0 for the lowest one): 13.1 meV per atom


Entry 9:
The following is a PBE-GGA calculation of an optimized crystal structure of LaNd2Er2Tm2, from the Alexandria database.

Cell and atoms, written as POSCAR:
```
LaNd2Er2Tm2
1.0
11.5983 0.0000 0.0000
0.0000 3.5055 0.0000
-2.2893 0.0000 11.5584
La Nd Er Tm
2 4 4 4
Direct
0.0000 0.0000 0.0000
0.5000 0.5000 0.0000
0.1554 0.5000 0.5758
0.3446 0.0000 0.4242
0.6554 0.0000 0.5758
0.8446 0.5000 0.4242
0.0930 0.5000 0.2709
0.4070 0.0000 0.7291
0.5930 0.0000 0.2709
0.9070 0.5000 0.7291
0.2051 0.5000 0.8717
0.2949 0.0000 0.1283
0.7051 0.0000 0.8717
0.7949 0.5000 0.1283
```

Output
- ΔE_f: 0.14 eV/atom
- ρ: 7.8 Mg/m³
- Space group: C2/m
- Energy: -4.5027 eV per atom


Entry 10:
The following is a PBE-GGA calculation of an optimized crystal structure of Ni2RhW2, from the Alexandria database.

Cell and atoms, written as POSCAR:
```
Ni2RhW2
1.0
6.9821 0.0000 0.0000
0.0000 6.9821 0.0000
0.0000 0.0000 2.8111
Ni Rh W
4 2 4
Direct
0.1217 0.3783 0.0000
0.3783 0.8783 0.0000
0.6217 0.1217 0.0000
0.8783 0.6217 0.0000
0.0000 0.0000 0.0000
0.5000 0.5000 0.0000
0.1750 0.6750 0.5000
0.3250 0.1750 0.5000
0.6750 0.8250 0.5000
0.8250 0.3250 0.5000
```

Output
- ΔE_f: 0.08 eV/atom
- ρ: 14.2 Mg/m³
- Space group: P4/mbm
- Energy: -8.8801 eV per atom


Entry 11:
The following is a PBE-GGA calculation of an optimized crystal structure of Cs4GePb3I12, from the Alexandria database.

Cell and atoms, written as POSCAR:
```
Cs4GePb3I12
1.0
-6.2935 6.2935 6.2935
6.2935 -6.2935 6.2935
6.2935 6.2935 -6.2935
Cs Ge Pb I
4 1 3 12
Direct
0.0000 0.0000 0.5000
0.0000 0.5000 0.0000
0.5000 0.0000 0.0000
0.5000 0.5000 0.5000
0.0000 0.0000 0.0000
0.0000 0.5000 0.5000
0.5000 0.0000 0.5000
0.5000 0.5000 0.0000
0.0000 0.2410 0.2410
0.0000 0.7590 0.7590
0.2410 0.0000 0.2410
0.2410 0.2410 0.0000
0.2500 0.5000 0.7500
0.2500 0.7500 0.5000
0.5000 0.2500 0.7500
0.5000 0.7500 0.2500
0.7500 0.2500 0.5000
0.7500 0.5000 0.2500
0.7590 0.0000 0.7590
0.7590 0.7590 0.0000
```

Output
- ρ: 4.6 Mg/m³
- Space group: Im-3m
- Energy: -2.8370 eV per atom
- Formation energy without anion corrections: -18.98 eV/f.u.


Which of these has the highest ρ? Ag2IrAu


Which of these has the lowest energy? Ni2RhW2


ρ of number 1 (KTeAs2)? 4.8 Mg/m³


Look up the ρ of the eighth one. 14.9 Mg/m³